A geometry-optimized KRbZn structure. Source: OQMD via LeMat-Bulk, functional PBE.

Summary:
**DFT total energy**: -0.0293 hartree per atom

a b c (Å): 8.633 8.633 8.633
angles (deg): 90.00 90.00 90.00
Space group F-43m (No. 216)
One atom of each set of equivalent atoms:
K  0.000  0.000  0.000 [4 per cell]
Rb  0.250  0.250  0.750 [4 per cell]
Zn  0.250  0.250  0.250 [4 per cell]